[1]
The following is a DFT calculation (PBE-GGA) of a relaxed Li4As3Pd4 crystal.

Cell: 2.976 4.280 13.410 Å, 80.84 83.70 89.96°
Space group P-1 (No. 2)
Symmetry-distinct sites (fractional):
Li 0.052 0.053 0.394 [2 per cell]
Li 0.176 0.678 0.145 [2 per cell]
As 0.352 0.851 0.797 [2 per cell]
As 0.500 0.500 0.500 [1 per cell]
Pd 0.227 0.228 0.045 [2 per cell]
Pd 0.406 0.405 0.689 [2 per cell]

Computed properties:
The calculation puts the calculated formation energy at -0.504 eV/atom. Its crystal system is triclinic. Its density is 6.72 g/cm3.

=====

[2]
The following is a DFT calculation (PBE-GGA) of a relaxed Th5MnBi3 crystal.

Cell: 9.6801 9.6801 6.5287 Å, 90.00 90.00 120.00°
Space group P6_3/mcm (No. 193)
Symmetry-distinct sites (fractional):
Th 0.0000 0.2314 0.2500 [6 per cell]
Th 0.3333 0.6667 0.0000 [4 per cell]
Mn 0.0000 0.0000 0.0000 [2 per cell]
Bi 0.0000 0.3987 0.7500 [6 per cell]

Computed properties:
The calculation puts the calculated formation energy at -0.403 eV/atom. Its crystal system is hexagonal. Its density is 11.55 g/cm3.

=====

[3]
The following is a DFT calculation (PBE-GGA) of a relaxed BeCuRu2 crystal.

Cell: 3.693 3.693 7.215 Å, 90.00 90.00 90.00°
Space group I-4m2 (No. 119)
Symmetry-distinct sites (fractional):
Be 0.000 0.000 0.000 [2 per cell]
Cu 0.000 0.500 0.750 [2 per cell]
Ru 0.000 0.000 0.500 [2 per cell]
Ru 0.000 0.500 0.250 [2 per cell]

Computed properties:
The calculation puts the calculated formation energy at 0.094 eV/atom. Its crystal system is tetragonal. Its density is 9.27 g/cm3.

=====

[4]
The following is a DFT calculation (PBE-GGA) of a relaxed Co2AuBr6 crystal.

Cell: 14.608 14.240 6.548 Å, 90.00 112.61 90.00°
Space group C2/c (No. 15)
Symmetry-distinct sites (fractional):
Co 0.234 0.081 0.320 [8 per cell]
Au 0.000 0.222 0.250 [4 per cell]
Br 0.102 0.384 0.581 [8 per cell]
Br 0.130 0.202 0.098 [8 per cell]
Br 0.192 0.068 0.643 [8 per cell]

Computed properties:
Its crystal system is monoclinic. The value obtained for the raw formation energy is -0.21 eV per atom. Its density is 4.20 g/cm3.

=====

[5]
The following is a DFT calculation (PBE-GGA) of a relaxed Nd2Y7Cd2 crystal.

Cell: 8.574 9.878 8.569 Å, 90.00 109.53 90.00°
Space group C2/m (No. 12)
Symmetry-distinct sites (fractional):
Nd 0.000 0.182 0.000 [4 per cell]
Y 0.000 0.500 0.500 [2 per cell]
Y 0.141 0.500 0.914 [4 per cell]
Y 0.199 0.177 0.672 [8 per cell]
Cd 0.121 0.000 0.333 [4 per cell]

Computed properties:
The calculation puts the calculated formation energy at -0.062 eV/atom. Its crystal system is monoclinic. Its density is 5.51 g/cm3.

=====

[6]
The following is a DFT calculation (PBE-GGA) of a relaxed Er5CoHg2 crystal.

Cell: 8.647 12.197 3.956 Å, 90.00 90.00 90.00°
Space group Pbam (No. 55)
Symmetry-distinct sites (fractional):
Er 0.000 0.000 0.000 [2 per cell]
Er 0.153 0.313 0.000 [4 per cell]
Er 0.174 0.573 0.500 [4 per cell]
Co 0.000 0.500 0.000 [2 per cell]
Hg 0.057 0.820 0.500 [4 per cell]

Computed properties:
The calculation puts the calculated formation energy at -0.316 eV/atom. Its crystal system is orthorhombic. The calculation puts the offset from the most stable computed form at 0.0 meV/atom. Its density is 10.32 g/cm3.

=====

[7]
The following is a DFT calculation (PBE-GGA) of a relaxed BeRh3I crystal.

Cell: 4.795 4.795 4.795 Å, 90.00 90.00 90.00°
Space group Pm-3m (No. 221)
Symmetry-distinct sites (fractional):
Be 0.000 0.000 0.000 [1 per cell]
Rh 0.000 0.500 0.500 [3 per cell]
I 0.500 0.500 0.500 [1 per cell]

Computed properties:
Its crystal system is cubic. The value obtained for the raw formation energy is 1.45 eV per atom. The calculation puts the offset from the most stable computed form at 1004.0 meV/atom. Its density is 6.70 g/cm3.

=====

[8]
The following is a DFT calculation (PBE-GGA) of a relaxed Na9Tl2Ag crystal.

Cell: 6.174 8.254 8.559 Å, 105.18 110.85 104.97°
Space group P-1 (No. 2)
Symmetry-distinct sites (fractional):
Na 0.000 0.000 0.000 [1 per cell]
Na 0.025 0.359 0.794 [2 per cell]
Na 0.449 0.149 0.424 [2 per cell]
Na 0.476 0.470 0.270 [2 per cell]
Na 0.490 0.162 0.897 [2 per cell]
Tl 0.052 0.711 0.655 [2 per cell]
Ag 0.000 0.000 0.500 [1 per cell]

Computed properties:
The calculation puts the calculated formation energy at -0.033 eV/atom. Its crystal system is triclinic. Its density is 3.32 g/cm3.

=====

Q: Number 8 is which compound?
A: Na9Tl2Ag